{"formula": "Ba2Re", "functional": "PBE", "state": "optimized geometry", "cell": [[0.0000, 3.8330, 3.8330], [3.8330, 0.0000, 3.8330], [3.8330, 3.8330, 0.0000]], "species": ["Ba", "Ba", "Re"], "frac_coords": [[0.2500, 0.2500, 0.2500], [0.7500, 0.7500, 0.7500], [0.0000, 0.0000, 0.0000]], "crystal_system": "cubic", "e_tot_ev_per_atom": -4.21, "de_polymorph_ev_per_atom": 0.7762, "space_group": "Fm-3m (225)", "ef_kj_per_mol_atoms": 117.5}